[1]
The following is a DFT calculation (PBE-GGA) of a geometry-optimized InTe2W structure.

Properties
* formation energy (no corrections): 0.306 eV per atom

a b c (Å): 3.242 4.685 15.429
angles (deg): 90.00 90.00 90.00
Space group Amm2 (No. 38)
Symmetry-distinct sites (fractional):
In 0.000 0.000 0.000
Te 0.000 0.000 0.663
Te 0.500 0.000 0.349
W 0.500 0.000 0.525

[2]
The following is a DFT calculation (PBE-GGA) of a geometry-optimized Mn2PRh structure.

Properties
* E_form: -0.24 eV/atom

a b c (Å): 2.724 2.724 6.222
angles (deg): 90.00 90.00 90.00
Space group P4/mmm (No. 123)
Symmetry-distinct sites (fractional):
Mn 0.000 0.000 0.211
P 0.500 0.500 0.000
Rh 0.500 0.500 0.500

[3]
The following is a DFT calculation (PBE-GGA) of a geometry-optimized YNiAsSe2 structure.

Properties
* formation energy (no corrections): -0.483 eV per atom
* energy relative to the lowest polymorph listed for this composition: 0.0000 eV/atom

a b c (Å): 4.871 4.871 4.468
angles (deg): 90.00 90.00 90.00
Space group P4/mmm (No. 123)
Symmetry-distinct sites (fractional):
Y 0.000 0.000 0.000
Ni 0.500 0.500 0.500
As 0.500 0.500 0.000
Se 0.000 0.500 0.500

| no. | spin magnetization (μB per cell) | volume (Å³ per atom) | calculated total energy (eV/atom) |
| --- | --- | --- | --- |
| 1 | 0.00 | 29.29 | -5.19 |
| 2 | 0.00 | 11.54 | -8.01 |
| 3 | 0.00 | 21.20 | -5.26 |